[1]
Entry from the Alexandria database: a relaxed structure of TlRu2Pb (PBE).

The structure in CIF format:
```
data_TlRu2Pb
_chemical_formula_sum 'Tl1 Ru2 Pb1'
_cell_length_a 3.315
_cell_length_b 3.315
_cell_length_c 6.639
_cell_angle_alpha 90.00
_cell_angle_beta 90.00
_cell_angle_gamma 90.00
_symmetry_space_group_name_H-M 'P 1'
_symmetry_Int_Tables_number 1
_symmetry_space_group_name_Hall 'P 1'
loop_
_atom_site_label
_atom_site_type_symbol
_atom_site_fract_x
_atom_site_fract_y
_atom_site_fract_z
Tl1 Tl 0.000 0.000 0.000
Ru1 Ru 0.500 0.500 0.253
Ru2 Ru 0.500 0.500 0.747
Pb1 Pb 0.000 0.000 0.500
```

SG = P4/mmm
E_form = 0.535 eV per atom



[2]
Entry from the Alexandria database: a relaxed structure of TlRu3Pb (PBE).

The structure in CIF format:
```
data_TlRu3Pb
_chemical_formula_sum 'Tl1 Ru3 Pb1'
_cell_length_a 4.994
_cell_length_b 4.994
_cell_length_c 4.994
_cell_angle_alpha 90.00
_cell_angle_beta 90.00
_cell_angle_gamma 90.00
_symmetry_space_group_name_H-M 'P 1'
_symmetry_Int_Tables_number 1
_symmetry_space_group_name_Hall 'P 1'
loop_
_atom_site_label
_atom_site_type_symbol
_atom_site_fract_x
_atom_site_fract_y
_atom_site_fract_z
Tl1 Tl 0.000 0.000 0.000
Ru1 Ru 0.000 0.500 0.500
Ru2 Ru 0.500 0.000 0.500
Ru3 Ru 0.500 0.500 0.000
Pb1 Pb 0.500 0.500 0.500
```

SG = Pm-3m
E_form = 1.935 eV per atom



[3]
Entry from the Alexandria database: a relaxed structure of TlRuPb2 (PBE).

The structure in CIF format:
```
data_TlRuPb2
_chemical_formula_sum 'Tl1 Ru1 Pb2'
_cell_length_a 5.139
_cell_length_b 5.139
_cell_length_c 3.664
_cell_angle_alpha 90.00
_cell_angle_beta 90.00
_cell_angle_gamma 90.00
_symmetry_space_group_name_H-M 'P 1'
_symmetry_Int_Tables_number 1
_symmetry_space_group_name_Hall 'P 1'
loop_
_atom_site_label
_atom_site_type_symbol
_atom_site_fract_x
_atom_site_fract_y
_atom_site_fract_z
Tl1 Tl 0.000 0.000 0.000
Ru1 Ru 0.500 0.500 0.000
Pb1 Pb 0.000 0.500 0.500
Pb2 Pb 0.500 0.000 0.500
```

SG = P4/mmm
E_form = 0.611 eV per atom



[4]
Entry from the Alexandria database: a relaxed structure of TlRu2Pb (PBE).

The structure in CIF format:
```
data_TlRu2Pb
_chemical_formula_sum 'Tl1 Ru2 Pb1'
_cell_length_a 4.642
_cell_length_b 4.642
_cell_length_c 5.651
_cell_angle_alpha 102.03
_cell_angle_beta 102.03
_cell_angle_gamma 40.51
_symmetry_space_group_name_H-M 'P 1'
_symmetry_Int_Tables_number 1
_symmetry_space_group_name_Hall 'P 1'
loop_
_atom_site_label
_atom_site_type_symbol
_atom_site_fract_x
_atom_site_fract_y
_atom_site_fract_z
Tl1 Tl 0.000 0.000 0.000
Ru1 Ru 0.251 0.251 0.723
Ru2 Ru 0.749 0.749 0.277
Pb1 Pb 0.500 0.500 0.500
```

SG = C2/m
E_form = 0.649 eV per atom



Number 1: total DFT energy (no corrections) -5.621 eV per atom. Number 2: total DFT energy (no corrections) -4.846 eV per atom. Number 3: total DFT energy (no corrections) -4.154 eV per atom. Number 4: total DFT energy (no corrections) -5.508 eV per atom.